Model w:
5
Lattice="-4.4049 -0.0428 1.7419 1.1905 -3.5317 2.9238 1.2722 3.1566 3.2949" Properties=species:S:1:pos:R:3 comment="NbZnAu3 PBE relaxed" dos_ef_per_ev_atom=0.748 spacegroup="Pm-3m, No. 221" pbc="T T T"
Nb -0.9711 -0.2089 3.9803
Au -2.2025 -0.0214 0.8709
Au 0.5953 -1.7659 1.4619
Au 0.6361 1.5783 1.6474
Zn 0.0000 0.0000 0.0000

---

Model x:
5
Lattice="-4.3426 -1.4245 -2.4291 2.4496 0.2909 -4.5500 1.3888 -4.9673 0.4301" Properties=species:S:1:pos:R:3 comment="NbZnAu3 PBE relaxed" dos_ef_per_ev_atom=0.811 spacegroup="Pm-3m, No. 221" pbc="T T T"
Nb 0.0000 0.0000 0.0000
Au 0.6944 -2.4836 0.2150
Au -2.1713 -0.7123 -1.2145
Au 1.2248 0.1455 -2.2750
Zn -0.2521 -3.0504 -3.2745

---

Most stable: model w

---

Model w:
10
Lattice="-3.9542 3.3754 5.8917 3.2841 -5.0166 5.0782 2.4956 2.1071 0.4677" Properties=species:S:1:pos:R:3 comment="Zr2NbAu2 PBE relaxed" dos_ef_per_ev_atom=0.901 spacegroup="P4/mbm, No. 127" pbc="T T T"
Au 1.3915 -3.1221 6.6415
Au -2.0615 1.4808 4.3284
Au -1.3999 -0.1906 8.3282
Au 0.7298 -1.4507 2.6416
Nb -0.3350 -0.8206 5.4849
Nb 0.0000 0.0000 0.0000
Zr -0.9472 2.2075 6.7468
Zr 2.7727 -1.7417 4.6908
Zr 1.2894 -0.8082 8.4001
Zr 0.5362 1.2741 3.0375

---

Model x:
10
Lattice="-3.1064 7.0129 1.4267 -3.2361 0.0108 -7.0988 -2.7828 -1.4903 1.2663" Properties=species:S:1:pos:R:3 comment="Zr2NbAu2 PBE relaxed" dos_ef_per_ev_atom=0.653 spacegroup="P4/mbm, No. 127" pbc="T T T"
Au -5.2630 5.3288 -0.7269
Au -3.8622 0.2046 -3.6789
Au -2.9620 1.8199 0.2002
Au -6.1632 3.7135 -4.6060
Nb 0.0000 0.0000 0.0000
Nb -3.1712 3.5118 -2.8360
Zr -3.7491 2.3653 -5.4552
Zr -1.5968 1.1537 -2.1512
Zr -4.7457 5.8699 -3.5209
Zr -2.5933 4.6583 -0.2169

---

Most stable: model w

---

Model w:
5
Lattice="-4.7304 -1.3477 -0.6938 1.2753 -2.3096 -4.2087 0.8193 -4.1861 2.5455" Properties=species:S:1:pos:R:3 comment="ZrNb3Au PBE relaxed" dos_ef_per_ev_atom=1.507 spacegroup="Pm-3m, No. 221" pbc="T T T"
Nb 0.6376 -1.1548 -2.1044
Nb -2.3652 -0.6738 -0.3469
Nb 0.4096 -2.0931 1.2727
Zr -1.3179 -3.9217 -1.1785
Au 0.0000 0.0000 0.0000

---

Model x:
5
Lattice="4.8666 0.0000 0.0000 0.0000 4.8666 0.0000 0.0000 0.0000 4.8666" Properties=species:S:1:pos:R:3 comment="ZrNb3Au PBE relaxed" dos_ef_per_ev_atom=1.117 spacegroup="Pm-3m, No. 221" pbc="T T T"
Nb 2.4333 0.0000 0.0000
Nb 0.0000 0.0000 2.4333
Nb 0.0000 2.4333 0.0000
Zr 0.0000 0.0000 0.0000
Au 2.4333 2.4333 2.4333

---

Most stable: model w

---

Model w:
5
Lattice="5.0530 0.0000 0.0000 0.0000 5.0530 0.0000 0.0000 0.0000 5.0530" Properties=species:S:1:pos:R:3 comment="Zr3NbAu PBE relaxed" dos_ef_per_ev_atom=2.301 spacegroup="Pm-3m, No. 221" pbc="T T T"
Au 2.5265 2.5265 2.5265
Zr 0.0000 2.5265 0.0000
Zr 0.0000 0.0000 2.5265
Zr 2.5265 0.0000 0.0000
Nb 0.0000 0.0000 0.0000

---

Model x:
5
Lattice="5.1244 0.0000 0.0000 0.0000 5.1244 0.0000 0.0000 0.0000 5.1244" Properties=species:S:1:pos:R:3 comment="Zr3NbAu PBE relaxed" dos_ef_per_ev_atom=1.223 spacegroup="Pm-3m, No. 221" pbc="T T T"
Zr 2.5622 0.0000 0.0000
Zr 0.0000 2.5622 0.0000
Zr 0.0000 0.0000 2.5622
Nb 2.5622 2.5622 2.5622
Au 0.0000 0.0000 0.0000

---

Most stable: model w

---

Model w:
4
Lattice="-3.0849 3.5068 1.3996 -2.3262 -0.3416 -4.2715 -2.9741 -3.3703 1.8892" Properties=species:S:1:pos:R:3 comment="Nd3Au PBE relaxed" dos_ef_per_ev_atom=1.363 spacegroup="Pm-3m, No. 221" pbc="T T T"
Nd -2.6501 -1.8559 -1.1912
Nd -3.0295 0.0683 1.6444
Nd -2.7055 1.5826 -1.4360
Au 0.0000 0.0000 0.0000

---

Model x:
4
Lattice="-1.2251 -0.7108 -3.4520 0.5732 -5.7313 0.9766 -4.9509 3.0195 3.1520" Properties=species:S:1:pos:R:3 comment="Nd3Au PBE relaxed" dos_ef_per_ev_atom=1.298 spacegroup="Imm2, No. 44" pbc="T T T"
Nd -2.8887 0.3341 -1.0601
Nd -0.3684 -2.7964 -1.3100
Nd -2.8688 -2.2098 1.4731
Au 0.0061 -0.0610 0.0104

---

Most stable: model x

---

Model w:
8
Lattice="1.3681 4.2889 -5.4978 -4.8676 -5.1385 -0.6279 -3.7490 3.3464 1.6776" Properties=species:S:1:pos:R:3 comment="Nd3Au PBE relaxed" dos_ef_per_ev_atom=1.283 spacegroup="P6_3/mmc, No. 194" pbc="T T T"
Nd -4.6958 -2.6252 -1.0746
Nd -2.5527 5.1220 -3.3735
Nd -3.1908 3.1215 -0.8090
Nd -4.0577 -0.6247 -3.6390
Nd -4.8231 2.7252 -3.6663
Nd -2.4253 -0.2284 -0.7817
Au -1.6477 1.9830 -3.4551
Au -5.6008 0.5138 -0.9930

---

Model x:
8
Lattice="3.8478 0.0000 0.0000 -1.9239 6.2557 0.0000 0.0000 0.0000 10.1660" Properties=species:S:1:pos:R:3 comment="Nd3Au PBE relaxed" dos_ef_per_ev_atom=1.084 spacegroup="Cmcm, No. 63" pbc="T T T"
Nd 0.0000 1.6830 9.6570
Nd 1.9239 0.7941 2.5415
Nd 1.9239 4.5727 4.5740
Nd 0.0000 5.4616 7.6245
Nd 0.0000 1.6830 5.5920
Nd 1.9239 4.5727 0.5090
Au 1.9239 2.9580 7.6245
Au 0.0000 3.2977 2.5415

---

Model y:
16
Lattice="-4.3846 -4.5661 0.9433 4.0965 -8.3197 0.4825 -1.3103 -1.3488 9.0937" Properties=species:S:1:pos:R:3 comment="Nd3Au PBE relaxed" dos_ef_per_ev_atom=1.662 spacegroup="I-4, No. 82" pbc="T T T"
Nd -0.9287 -13.4478 6.7753
Nd 0.1680 -4.9365 9.2642
Nd -0.0241 -8.1305 4.0867
Nd -1.6003 -6.1311 6.4384
Nd -2.9007 -3.1099 4.2241
Nd -0.3845 -10.5469 1.2406
Nd 0.4644 -6.9748 0.7752
Nd -1.9923 -10.0762 6.9756
Nd 1.4571 -10.9722 8.1453
Nd -0.9039 -1.0216 1.9112
Nd 0.4199 -4.1313 3.5382
Nd -3.3655 -5.9282 9.7417
Au 0.6715 -8.1195 7.0987
Au -1.8420 -10.8922 3.9987
Au -2.2405 -6.0844 3.4144
Au 0.2141 -3.3730 6.5271

---

Most stable: model x

---

Model w:
4
Lattice="6.1611 -0.0249 0.0000 2.5844 5.5929 0.0000 -4.3727 -2.7840 3.3299" Properties=species:S:1:pos:R:3 comment="Nd3Au PBE relaxed" dos_ef_per_ev_atom=1.115 spacegroup="I4/mmm, No. 139" pbc="T T T"
Nd 4.3727 2.7840 0.0000
Nd 1.2922 2.7964 1.6649
Nd 3.0805 -0.0125 1.6649
Au 0.0000 0.0000 0.0000

---

Model x:
4
Lattice="3.7817 0.0000 0.0000 0.0000 3.7347 0.0000 0.0000 0.0000 9.5872" Properties=species:S:1:pos:R:3 comment="Nd3Au PBE relaxed" dos_ef_per_ev_atom=1.432 spacegroup="Pmm2, No. 25" pbc="T T T"
Au 0.0000 0.0000 9.4956
Nd 0.0000 1.8673 4.4760
Nd 1.8909 0.0000 7.0551
Nd 1.8909 1.8673 1.3435

---

Most stable: model w

---

Model w:
5
Lattice="-2.0734 0.7215 2.9952 2.4191 -1.8543 2.1214 5.0158 9.0941 -1.0208" Properties=species:S:1:pos:R:3 comment="Nd3Au2 PBE relaxed" dos_ef_per_ev_atom=0.904 spacegroup="I4/mmm, No. 139" pbc="T T T"
Nd 3.4630 4.8411 3.5332
Nd 1.8985 3.1202 0.5626
Nd 0.0000 0.0000 0.0000
Au 1.1296 1.0060 2.8418
Au 4.2319 6.9552 1.2540

---

Model x:
10
Lattice="3.9253 0.0000 0.0000 0.0000 8.4365 0.0000 0.0000 0.0000 8.4365" Properties=species:S:1:pos:R:3 comment="Nd3Au2 PBE relaxed" dos_ef_per_ev_atom=1.064 spacegroup="P4/mbm, No. 127" pbc="T T T"
Au 0.0000 1.0837 3.1345
Au 0.0000 5.3019 1.0837
Au 0.0000 3.1346 7.3528
Au 0.0000 7.3528 5.3019
Nd 1.9627 7.0467 2.8284
Nd 1.9627 2.8284 1.3898
Nd 1.9627 5.6081 7.0467
Nd 1.9627 1.3898 5.6081
Nd 0.0000 4.2182 4.2182
Nd 0.0000 0.0000 0.0000

---

Most stable: model x

---

Model w:
10
Lattice="-4.5543 3.0517 0.2229 -0.1136 -4.9074 -2.6616 -0.9954 -2.0444 7.6501" Properties=species:S:1:pos:R:3 comment="Nd2Ni2Au PBE relaxed" dos_ef_per_ev_atom=0.873 spacegroup="C2/c, No. 15" pbc="T T T"
Ni -3.8084 -2.3443 2.0480
Ni -1.0847 -5.5252 5.7154
Ni -4.5786 1.6251 -0.5039
Ni -1.8548 -1.5557 3.1635
Au -4.0518 2.0371 2.0987
Au -1.4980 -1.0298 5.7744
Nd -2.4332 -0.2272 0.4608
Nd -4.3110 -0.3247 4.3534
Nd -1.3523 -3.5754 0.8581
Nd -3.2300 -3.6728 4.7507

---

Model x:
5
Lattice="-3.3916 0.8538 1.5199 -1.1880 -3.7225 -0.5599 2.9928 0.1457 6.5965" Properties=species:S:1:pos:R:3 comment="Nd2Ni2Au PBE relaxed" dos_ef_per_ev_atom=0.911 spacegroup="Cmmm, No. 65" pbc="T T T"
Ni 0.8502 -2.8942 3.5229
Ni 0.9546 -0.6827 2.5137
Nd -1.6622 -1.8832 2.1326
Nd 0.0754 -0.8399 5.4239
Au 0.0000 0.0000 0.0000

---

Most stable: model x

---

Model w:
11
Lattice="6.0242 -0.3192 -1.2626 -2.2568 7.2207 -2.8089 -0.3583 0.0500 8.0617" Properties=species:S:1:pos:R:3 comment="Nd8NiAu2 PBE relaxed" dos_ef_per_ev_atom=1.405 spacegroup="Cm, No. 8" pbc="T T T"
Nd 2.8829 4.4196 2.4119
Nd 5.0899 0.7688 5.3430
Nd 2.9197 2.5150 -0.9135
Nd 0.0682 4.3951 5.1117
Nd 3.4112 0.6583 1.9011
Nd 3.7256 5.9220 -2.4691
Nd 0.2660 2.6181 1.6805
Nd -0.4620 6.3975 2.0762
Ni -0.9724 7.1048 4.8565
Au 1.3328 5.0310 -0.1416
Au 2.1019 2.1258 4.2626

---

Model x:
11
Lattice="-2.1254 4.0174 -2.4630 2.4598 -2.4491 -6.1175 -6.9759 -6.0683 1.5468" Properties=species:S:1:pos:R:3 comment="Nd8NiAu2 PBE relaxed" dos_ef_per_ev_atom=0.954 spacegroup="C2/m, No. 12" pbc="T T T"
Nd -5.4330 -2.8492 0.0411
Nd -8.1517 -2.3837 -2.2783
Nd -1.2085 -1.6509 -7.0748
Nd -5.2637 -4.7019 -3.1269
Nd -2.4571 -2.4478 -1.8723
Nd 1.5102 -2.1164 -4.7553
Nd -1.3778 0.2018 -3.9068
Nd -4.1844 -2.0522 -5.1614
Au -1.2566 -3.3779 -4.4254
Au -5.3850 -1.1222 -2.6083
Ni -1.0627 2.0087 -1.2315

---

Most stable: model x

---

Model w:
19
Lattice="8.1408 0.0000 -2.8782 -4.0704 7.0501 -2.8782 0.0000 0.0000 8.6346" Properties=species:S:1:pos:R:3 comment="Nd12Ni6Au PBE relaxed" dos_ef_per_ev_atom=0.974 spacegroup="Im-3, No. 204" pbc="T T T"
Ni 5.6060 2.6598 0.7065
Ni 3.0343 3.5251 -2.1717
Ni 1.0361 3.5251 5.0499
Ni -1.5356 4.3904 2.1717
Ni 3.5708 0.8653 3.5847
Ni 0.4996 6.1849 -0.7065
Au 0.0000 0.0000 0.0000
Nd 0.8481 5.7429 2.2007
Nd 3.5913 3.6059 3.5557
Nd -1.3271 4.9131 5.0789
Nd 3.2223 1.3072 0.6775
Nd 0.4791 3.4442 -0.6775
Nd 0.2757 2.1370 2.8122
Nd 2.0819 6.2204 -2.9442
Nd 5.3975 2.1370 -2.2007
Nd 3.7948 4.9131 0.0660
Nd -2.3575 5.7429 -0.0660
Nd 1.9885 0.8298 5.8224
Nd 6.4279 1.3072 2.9442

---

Model x:
19
Lattice="-7.5699 1.5601 -3.2066 4.1883 -2.0959 -6.9344 -1.2915 -7.5617 3.3425" Properties=species:S:1:pos:R:3 comment="Nd12Ni6Au PBE relaxed" dos_ef_per_ev_atom=1.248 spacegroup="R-3, No. 148" pbc="T T T"
Ni -2.5912 -4.4097 0.0887
Ni -5.7918 -4.6599 -3.1791
Ni 1.1187 -3.4375 -3.6193
Ni -3.4809 -0.7359 -3.6755
Ni -2.0819 -3.6878 -6.8871
Ni -1.1922 -7.3616 -3.1229
Nd 2.7819 -4.3185 -5.6270
Nd -3.3361 -6.7018 1.4171
Nd -0.9782 -1.9067 -4.6675
Nd -0.3648 -4.8857 -1.5408
Nd -0.5876 -5.4835 -5.1093
Nd -4.3083 -3.2117 -5.2576
Nd -7.4551 -3.7790 -1.1714
Nd 1.0911 -8.1695 -1.8164
Nd -5.7642 0.0720 -4.9820
Nd -1.3371 -1.3957 -8.2155
Nd -3.6950 -6.1907 -2.1309
Nd -4.0856 -2.6140 -1.6891
Au 0.0000 0.0000 0.0000

---

Most stable: model w

---

Model w:
4
Lattice="5.1507 0.0000 0.0000 2.5754 4.4607 0.0000 2.5754 1.4869 4.2056" Properties=species:S:1:pos:R:3 comment="PrNdNiAu PBE relaxed" dos_ef_per_ev_atom=0.760 spacegroup="F-43m, No. 216" pbc="T T T"
Ni 2.5754 1.4869 1.0514
Nd 5.1507 2.9738 2.1028
Au 7.7261 4.4607 3.1542
Pr 0.0000 0.0000 0.0000

---

Model x:
4
Lattice="3.9532 0.0000 0.0000 0.0000 4.6275 0.0000 -1.9766 0.0000 5.4283" Properties=species:S:1:pos:R:3 comment="PrNdNiAu PBE relaxed" dos_ef_per_ev_atom=0.834 spacegroup="Amm2, No. 38" pbc="T T T"
Nd 1.9766 2.3138 3.9349
Au 1.9766 2.3138 0.8286
Ni 0.0000 0.0000 4.5642
Pr 0.0000 0.0000 1.5289

---

Most stable: model x